[1]
## VNi12Sn3 (PBE)

Data for a relaxed VNi12Sn3 crystal.

abc: 3.6984 3.6984 14.6797
angles: 90.00 90.00 90.00
Atoms (fractional coordinates):
V (0.0000, 0.0000, 0.0000)
Ni (0.5000, 0.5000, 0.0000)
Ni (0.5000, 0.5000, 0.2423)
Ni (0.5000, 0.5000, 0.5000)
Ni (0.5000, 0.5000, 0.7577)
Ni (0.5000, 0.0000, 0.1126)
Ni (0.5000, 0.0000, 0.3717)
Ni (0.5000, 0.0000, 0.6283)
Ni (0.5000, 0.0000, 0.8874)
Ni (0.0000, 0.5000, 0.1126)
Ni (0.0000, 0.5000, 0.3717)
Ni (0.0000, 0.5000, 0.6283)
Ni (0.0000, 0.5000, 0.8874)
Sn (0.0000, 0.0000, 0.2449)
Sn (0.0000, 0.0000, 0.5000)
Sn (0.0000, 0.0000, 0.7551)

Results
ΔH_f (0 K)	-305.3	kJ/mol of formula units

=====

[2]
## Ce12Ir6Pd (PBE)

Data for a relaxed Ce12Ir6Pd crystal.

abc: 8.1798 8.1798 8.1798
angles: 97.86 97.86 97.86
Each line ends with the local moment (μB).
Atoms (fractional coordinates):
Ce (0.8174, 0.5811, 0.4183)  0.65
Ce (0.4183, 0.8174, 0.5811)  0.65
Ce (0.5811, 0.4183, 0.8174)  0.65
Ce (0.1826, 0.4189, 0.5817)  0.65
Ce (0.5817, 0.1826, 0.4189)  0.65
Ce (0.4189, 0.5817, 0.1826)  0.65
Ce (0.0640, 0.9582, 0.3408)  0.81
Ce (0.0418, 0.6592, 0.9360)  0.81
Ce (0.6592, 0.9360, 0.0418)  0.81
Ce (0.9360, 0.0418, 0.6592)  0.81
Ce (0.9582, 0.3408, 0.0640)  0.81
Ce (0.3408, 0.0640, 0.9582)  0.81
Ir (0.6847, 0.8701, 0.3770)  -0.04
Ir (0.6230, 0.3153, 0.1299)  -0.04
Ir (0.1299, 0.6230, 0.3153)  -0.04
Ir (0.3153, 0.1299, 0.6230)  -0.04
Ir (0.3770, 0.6847, 0.8701)  -0.04
Ir (0.8701, 0.3770, 0.6847)  -0.04
Pd (0.0000, 0.0000, 0.0000)  -0.01

Results
ΔH_f (0 K)	-857.7	kJ/mol of formula units

=====

[3]
## Rb2TiGe3O9 (PBE)

Data for a relaxed Rb2TiGe3O9 crystal.

abc: 12.2997 12.2997 10.7262
angles: 90.00 90.00 120.00
Atoms (fractional coordinates):
Rb (0.6310, 0.6409, 0.4693)
Rb (0.6409, 0.6310, 0.0307)
Rb (0.9901, 0.6310, 0.5307)
Rb (0.3690, 0.0099, 0.0307)
Rb (0.3591, 0.9901, 0.4693)
Rb (0.0099, 0.3690, 0.4693)
Rb (0.6409, 0.0099, 0.5307)
Rb (0.0099, 0.6409, 0.9693)
Rb (0.6310, 0.9901, 0.9693)
Rb (0.3591, 0.3690, 0.9693)
Rb (0.9901, 0.3591, 0.0307)
Rb (0.3690, 0.3591, 0.5307)
Ti (0.3333, 0.6667, 0.0071)
Ti (0.0000, 0.0000, 0.5000)
Ti (0.6667, 0.3333, 0.4929)
Ti (0.3333, 0.6667, 0.5071)
Ti (0.6667, 0.3333, 0.9929)
Ti (0.0000, 0.0000, 0.0000)
Ge (0.8345, 0.2902, 0.7480)
Ge (0.5443, 0.8345, 0.2520)
Ge (0.8345, 0.5443, 0.2480)
Ge (0.2902, 0.8345, 0.7520)
Ge (0.7098, 0.1655, 0.2480)
Ge (0.1655, 0.4557, 0.7520)
Ge (0.1910, 0.1910, 0.7500)
Ge (0.4557, 0.2902, 0.2480)
Ge (0.4557, 0.1655, 0.7480)
Ge (0.7098, 0.5443, 0.7480)
Ge (0.2902, 0.4557, 0.2520)
Ge (0.1910, 0.0000, 0.2500)
Ge (0.0000, 0.1910, 0.2500)
Ge (0.8090, 0.8090, 0.2500)
Ge (0.1655, 0.7098, 0.2520)
Ge (0.0000, 0.8090, 0.7500)
Ge (0.8090, 0.0000, 0.7500)
Ge (0.5443, 0.7098, 0.7520)
O (0.6537, 0.6537, 0.7500)
O (0.2313, 0.8762, 0.2375)
O (0.0191, 0.8795, 0.8941)
O (0.2313, 0.3551, 0.7375)
O (0.6495, 0.1962, 0.3834)
O (0.8762, 0.6449, 0.7625)
O (0.7953, 0.3259, 0.6025)
O (0.0000, 0.6537, 0.2500)
O (0.3259, 0.7953, 0.8975)
O (0.4694, 0.6741, 0.8975)
O (0.0000, 0.3463, 0.7500)
O (0.1238, 0.3551, 0.2375)
O (0.9809, 0.8604, 0.6059)
O (0.5306, 0.3259, 0.1025)
O (0.6741, 0.2047, 0.1025)
O (0.2047, 0.5306, 0.8975)
O (0.6449, 0.7687, 0.2375)
O (0.0191, 0.1396, 0.3941)
O (0.1396, 0.1205, 0.6059)
O (0.5467, 0.1962, 0.8834)
O (0.3259, 0.5306, 0.3975)
O (0.6537, 0.0000, 0.2500)
O (0.6495, 0.4533, 0.8834)
O (0.8604, 0.9809, 0.8941)
O (0.6741, 0.4694, 0.6025)
O (0.4694, 0.7953, 0.3975)
O (0.1205, 0.1396, 0.8941)
O (0.4533, 0.8038, 0.1166)
O (0.8795, 0.8604, 0.1059)
O (0.2047, 0.6741, 0.3975)
O (0.8038, 0.3505, 0.8834)
O (0.7687, 0.1238, 0.7625)
O (0.7953, 0.4694, 0.1025)
O (0.3551, 0.1238, 0.2625)
O (0.3505, 0.5467, 0.1166)
O (0.5467, 0.3505, 0.3834)
O (0.8604, 0.8795, 0.3941)
O (0.1962, 0.5467, 0.6166)
O (0.3463, 0.0000, 0.7500)
O (0.8795, 0.0191, 0.6059)
O (0.8762, 0.2313, 0.2625)
O (0.7687, 0.6449, 0.2625)
O (0.3463, 0.3463, 0.2500)
O (0.1962, 0.6495, 0.1166)
O (0.5306, 0.2047, 0.6025)
O (0.1238, 0.7687, 0.7375)
O (0.1205, 0.9809, 0.3941)
O (0.9809, 0.1205, 0.1059)
O (0.4533, 0.6495, 0.6166)
O (0.3551, 0.2313, 0.7625)
O (0.3505, 0.8038, 0.6166)
O (0.1396, 0.0191, 0.1059)
O (0.6449, 0.8762, 0.7375)
O (0.8038, 0.4533, 0.3834)

Results
VASP energy	-585.35	eV/cell

=====

[4]
## Dy8TmIn6 (PBE)

Data for a relaxed Dy8TmIn6 crystal.

abc: 9.0123 9.0123 8.3103
angles: 57.16 57.16 60.00
Atoms (fractional coordinates):
Dy (0.5540, 0.2201, 0.3387)
Dy (0.7799, 0.1128, 0.6613)
Dy (0.1128, 0.4460, 0.6613)
Dy (0.6664, 0.6664, 0.0007)
Dy (0.3336, 0.3336, 0.9993)
Dy (0.8872, 0.5540, 0.3387)
Dy (0.2201, 0.8872, 0.3387)
Dy (0.4460, 0.7799, 0.6613)
Tm (0.0000, 0.0000, 0.0000)
In (0.3906, 0.0587, 0.8235)
In (0.9413, 0.2728, 0.1765)
In (0.2728, 0.6094, 0.1765)
In (0.7272, 0.3906, 0.8235)
In (0.0587, 0.7272, 0.8235)
In (0.6094, 0.9413, 0.1765)

Results
ΔH_f (0 K)	-304.5	kJ/mol of formula units

=====

[5]
## GeSe2NO (PBE)

Data for a relaxed GeSe2NO crystal.

abc: 5.2384 5.2384 3.5051
angles: 90.00 90.00 90.00
Each line ends with the local moment (μB).
Atoms (fractional coordinates):
Ge (0.0000, 0.0000, 0.0000)  -0.01
O (0.5000, 0.5000, 0.5000)  1.32
Se (0.0000, 0.5000, 0.0000)  0.51
Se (0.5000, 0.0000, 0.0000)  0.51
N (0.0000, 0.0000, 0.5000)  0.27

Results
VASP energy	-18.43	eV/cell

=====

[6]
## PmNd5P6 (PBE)

Data for a relaxed PmNd5P6 crystal.

abc: 7.2097 7.2108 7.2090
angles: 59.99 80.40 70.51
Atoms (fractional coordinates):
P (0.7507, 0.0831, 0.3323)
P (0.2493, 0.5847, 0.3323)
P (0.2494, 0.2491, 0.0000)
P (0.7506, 0.7509, 0.0000)
P (0.7507, 0.4153, 0.6677)
P (0.2493, 0.9169, 0.6677)
Nd (0.5000, 0.1668, 0.6664)
Nd (0.0000, 0.3334, 0.3333)
Nd (0.5000, 0.5000, 0.0000)
Nd (0.0000, 0.6666, 0.6667)
Nd (0.5000, 0.8332, 0.3336)
Pm (0.0000, 0.0000, 0.0000)

Results
ΔH_f (0 K)	-1786.9	kJ/mol of formula units